The following is a DFT calculation (PBE+U) of K2MoF6 after structural relaxation.

Cell lengths 5.6188, 5.6188, 11.3233 Å; angles 90.00, 90.00, 90.00 degrees
Closest atoms and distances in Å follow each position.
Fractional positions:
Mo1 0.0000 0.0000 0.0000  6 F 1.99-2.02
Mo2 0.5000 0.5000 0.5000  6 F 1.99-2.02
F1 0.1757 0.8243 0.8712  1 Mo 2.02
F2 0.2502 0.7498 0.5000  1 Mo 1.99
F3 0.7502 0.7502 0.0000  1 Mo 1.99
F4 0.6757 0.6757 0.6288  1 Mo 2.02
F5 0.8243 0.1757 0.1288  1 Mo 2.02
F6 0.3243 0.3243 0.6288  1 Mo 2.02
F7 0.8243 0.1757 0.8712  1 Mo 2.02
F8 0.6757 0.6757 0.3712  1 Mo 2.02
F9 0.3243 0.3243 0.3712  1 Mo 2.02
F10 0.7498 0.2502 0.5000  1 Mo 1.99
F11 0.2498 0.2498 0.0000  1 Mo 1.99
F12 0.1757 0.8243 0.1288  1 Mo 2.02
K1 0.5000 0.5000 0.8348  6 F 2.61-2.73
K2 0.5000 0.5000 0.1652  6 F 2.61-2.73
K3 0.0000 0.0000 0.6652  6 F 2.61-2.73
K4 0.0000 0.0000 0.3348  6 F 2.61-2.73

Computed properties:
Theoretical density in Mg/m³: 2.7
Total energy in eV/atom: -5.048